[1]
# Pm12Nd7Dy

Crystalline Pm12Nd7Dy at its relaxed geometry (PBE-GGA, Alexandria via LeMat-Bulk).

Output
- crystal system = triclinic
- DFT formation energy (meV/atom) = 41
- DOS(E_F) (states/eV/f.u.) = 28.51
- total magnetic moment (Bohr magnetons per cell) = 0.00

a = 7.1722 Å, b = 8.9510 Å, c = 12.1684 Å
α = 75.43°, β = 72.92°, γ = 101.55°
Closest atoms and distances in Å follow each position.
Atoms (fractional coordinates):
1 Nd 0.0496 0.8042 0.2994  7 Pm 3.26-3.65
2 Nd 0.4060 0.4211 0.8949  8 Pm 3.44-3.67, 2 Nd 3.64-3.66
3 Pm 0.1975 0.1978 0.2005  5 Nd 3.26-3.64, 1 Pm 3.45
4 Pm 0.7494 0.9999 0.5009  10 Pm 3.58-3.93, 4 Nd 3.77-3.79
5 Pm 0.0912 0.5821 0.1052  6 Nd 3.44-3.67, 4 Pm 3.65-3.68
6 Nd 0.7009 0.1962 0.2007  5 Pm 3.25-3.61, 1 Nd 3.64
7 Nd 0.5940 0.5789 0.1051  8 Pm 3.44-3.67, 2 Nd 3.64-3.66
8 Pm 0.2506 0.0001 0.4991  10 Pm 3.58-3.93, 4 Nd 3.77-3.79
9 Pm 0.6572 0.4196 0.3959  7 Pm 3.45-3.67, 3 Nd 3.46-3.66
10 Nd 0.9504 0.1958 0.7006  7 Pm 3.26-3.65
11 Pm 0.4466 0.1967 0.7023  4 Nd 3.25-3.61, 2 Pm 3.45-3.63
12 Pm 0.5534 0.8033 0.2977  4 Nd 3.25-3.61, 2 Pm 3.45-3.63
13 Pm 0.8025 0.8022 0.7995  5 Nd 3.26-3.64, 1 Pm 3.45
14 Nd 0.5000 0.0000 0.0000  2 Dy 3.59, 6 Pm 3.77-3.90, 6 Nd 3.79-3.92
15 Pm 0.9088 0.4179 0.8948  6 Nd 3.44-3.67, 4 Pm 3.65-3.68
16 Dy 0.0000 0.0000 0.0000  8 Nd 3.59-3.91, 6 Pm 3.77-3.89
17 Pm 0.8413 0.5774 0.6060  7 Pm 3.45-3.66, 3 Nd 3.46-3.66
18 Pm 0.3428 0.5804 0.6041  7 Pm 3.45-3.67, 3 Nd 3.46-3.66
19 Nd 0.2991 0.8038 0.7993  5 Pm 3.25-3.61, 1 Nd 3.64
20 Pm 0.1587 0.4226 0.3940  7 Pm 3.45-3.66, 3 Nd 3.46-3.66



[2]
# PmNdDy

Crystalline PmNdDy at its relaxed geometry (PBE-GGA, Alexandria via LeMat-Bulk).

Output
- crystal system = tetragonal
- DFT formation energy (meV/atom) = 19
- DOS(E_F) (states/eV/f.u.) = 4.20
- total magnetic moment (Bohr magnetons per cell) = 0.00

a = 3.6288 Å, b = 3.6288 Å, c = 8.1032 Å
α = 102.94°, β = 102.94°, γ = 90.00°
Closest atoms and distances in Å follow each position.
Atoms (fractional coordinates):
1 Pm 0.0018 0.0018 0.0036  4 Dy 3.60, 4 Pm 3.63, 4 Nd 3.66
2 Nd 0.3319 0.3319 0.6639  4 Dy 3.62, 4 Nd 3.63, 4 Pm 3.66
3 Dy 0.6662 0.6662 0.3325  4 Pm 3.60, 4 Nd 3.62, 4 Dy 3.63



[3]
# Pm7Nd2Dy3

Crystalline Pm7Nd2Dy3 at its relaxed geometry (PBE-GGA, Alexandria via LeMat-Bulk).

Output
- crystal system = orthorhombic
- DFT formation energy (meV/atom) = 110
- DOS(E_F) (states/eV/f.u.) = 19.34
- total magnetic moment (Bohr magnetons per cell) = 0.00

a = 3.6566 Å, b = 5.8168 Å, c = 19.4627 Å
α = 98.59°, β = 90.00°, γ = 90.00°
Closest atoms and distances in Å follow each position.
Atoms (fractional coordinates):
1 Pm 0.0000 0.4093 0.8187  6 Pm 3.51-3.66, 2 Nd 3.66
2 Pm 0.0000 0.0000 0.0000  6 Pm 3.31-3.66, 4 Dy 3.44
3 Nd 0.0000 0.1482 0.2964  3 Pm 3.20-3.47
4 Dy 0.5000 0.5000 0.0000  4 Pm 3.44, 2 Dy 3.66
5 Pm 0.0000 0.5907 0.1813  6 Pm 3.51-3.66, 2 Nd 3.66
6 Pm 0.5000 0.9284 0.8567  8 Pm 3.31-3.66, 2 Nd 3.47
7 Pm 0.0000 0.7687 0.5374  1 Nd 3.20, 2 Pm 3.25
8 Pm 0.0000 0.2313 0.4626  1 Nd 3.20, 2 Pm 3.25
9 Dy 0.5000 0.3147 0.6294  2 Dy 3.66, 8 Pm 3.69-4.08, 4 Nd 3.72
10 Pm 0.5000 0.0716 0.1433  8 Pm 3.31-3.66, 2 Nd 3.47
11 Dy 0.5000 0.6853 0.3706  2 Dy 3.66, 8 Pm 3.69-4.08, 4 Nd 3.72
12 Nd 0.0000 0.8518 0.7036  3 Pm 3.20-3.47



[4]
# Pm6Nd3Dy

Crystalline Pm6Nd3Dy at its relaxed geometry (PBE-GGA, Alexandria via LeMat-Bulk).

Output
- crystal system = orthorhombic
- DFT formation energy (meV/atom) = 137
- DOS(E_F) (states/eV/f.u.) = 12.95
- total magnetic moment (Bohr magnetons per cell) = 0.00

a = 6.4965 Å, b = 11.1239 Å, c = 11.1239 Å
α = 120.67°, β = 90.00°, γ = 90.00°
Closest atoms and distances in Å follow each position.
Atoms (fractional coordinates):
1 Nd 0.9628 0.7083 0.9414  1 Dy 3.30, 6 Pm 3.34-3.59, 1 Nd 3.66
2 Dy 0.6154 0.8088 0.1912  2 Nd 3.30, 6 Pm 3.36-3.62
3 Nd 0.4628 0.2917 0.0586  1 Dy 3.30, 6 Pm 3.34-3.59, 1 Nd 3.66
4 Pm 0.3697 0.5251 0.9422  3 Pm 3.17-3.51, 2 Nd 3.34-3.49, 1 Dy 3.36
5 Pm 0.8606 0.0348 0.9652  1 Dy 3.45, 4 Pm 3.52-3.85, 4 Nd 3.57-3.59
6 Pm 0.3606 0.9652 0.0348  1 Dy 3.45, 4 Pm 3.52-3.85, 4 Nd 3.57-3.59
7 Nd 0.5798 0.6151 0.3849  7 Pm 3.49-3.89, 2 Nd 3.66, 1 Dy 3.75
8 Nd 0.0798 0.3849 0.6151  7 Pm 3.49-3.89, 2 Nd 3.66, 1 Dy 3.75
9 Nd 0.9628 0.0586 0.2917  1 Dy 3.30, 6 Pm 3.34-3.59, 1 Nd 3.66
10 Pm 0.8697 0.4749 0.0578  3 Pm 3.17-3.51, 2 Nd 3.34-3.49, 1 Dy 3.36
11 Pm 0.8697 0.9422 0.5251  3 Pm 3.17-3.51, 2 Nd 3.34-3.49, 1 Dy 3.36
12 Pm 0.1512 0.7240 0.2760  4 Pm 3.17-3.51, 1 Dy 3.43, 1 Nd 3.49
13 Nd 0.4628 0.9414 0.7083  1 Dy 3.30, 6 Pm 3.34-3.59, 1 Nd 3.66
14 Pm 0.3697 0.0578 0.4749  3 Pm 3.17-3.51, 2 Nd 3.34-3.49, 1 Dy 3.36
15 Pm 0.5567 0.2875 0.3720  3 Nd 3.45-3.57, 5 Pm 3.51-3.85
16 Pm 0.5567 0.6280 0.7125  3 Nd 3.45-3.57, 5 Pm 3.51-3.85
17 Pm 0.6512 0.2760 0.7240  4 Pm 3.17-3.51, 1 Dy 3.43, 1 Nd 3.49
18 Dy 0.1154 0.1912 0.8088  2 Nd 3.30, 6 Pm 3.36-3.62
19 Pm 0.0567 0.7125 0.6280  3 Nd 3.45-3.57, 5 Pm 3.51-3.85
20 Pm 0.0567 0.3720 0.2875  3 Nd 3.45-3.57, 5 Pm 3.51-3.85